Entry from the Alexandria database: a relaxed SrMo3P crystal (PBE-GGA).

a b c (Å): 4.6488 4.6488 4.6488
angles (deg): 90.00 90.00 90.00
With the nearest neighbours (Å) after each atom.
Sites, in units of the cell vectors:
Sr 0.0000 0.0000 0.0000  12 Mo 3.29
Mo 0.0000 0.5000 0.5000  2 P 2.32
Mo 0.5000 0.0000 0.5000  2 P 2.32
Mo 0.5000 0.5000 0.0000  2 P 2.32
P 0.5000 0.5000 0.5000  6 Mo 2.32

Computed properties:
- E_tot: -0.2682 hartree per atom
- Energy above the most stable polymorph in this dataset: 0.00 eV per formula unit
- M_tot: 0.00 μB per atom
- ΔH_f (0 K): 618.2 meV per atom